# 1
A relaxed TmPu2In crystal, computed with PBE-GGA.

Cell lengths 4.520, 4.520, 5.118 Å; angles 90.00, 90.00, 90.00 degrees
Space group P4/mmm (No. 123)
Symmetry-distinct sites (fractional):
Tm: 0.000 0.000 0.000 (multiplicity 1)
Pu: 0.000 0.500 0.500 (multiplicity 2)
In: 0.500 0.500 0.000 (multiplicity 1)

Summary:
E_tot	-36.36	eV for the cell shown
distance to the lowest polymorph of the same formula	0.0	kJ per mole of atoms
ΔH_f (0 K)	-11.6	kJ per mole of atoms
DOS at the Fermi energy	10.57	states/eV/f.u.
M_tot	11.94	μB/f.u.

=====

# 2
A relaxed AcThCd crystal, computed with PBE-GGA.

Cell lengths 3.7636, 3.7636, 8.3927 Å; angles 90.00, 90.00, 120.00 degrees
Space group P3m1 (No. 156)
Symmetry-distinct sites (fractional):
Ac: 0.0000 0.0000 0.0000 (multiplicity 1)
Th: 0.6667 0.3333 0.3589 (multiplicity 1)
Cd: 0.3333 0.6667 0.6671 (multiplicity 1)

Summary:
E_tot	-12.25	eV for the cell shown
distance to the lowest polymorph of the same formula	10.0	kJ per mole of atoms
ΔH_f (0 K)	6.2	kJ per mole of atoms
DOS at the Fermi energy	3.42	states/eV/f.u.
M_tot	0.00	μB/f.u.

=====

# 3
A relaxed CuRh2Cl crystal, computed with PBE-GGA.

Cell lengths 2.987, 2.987, 6.468 Å; angles 90.00, 90.00, 90.00 degrees
Space group P4/mmm (No. 123)
Symmetry-distinct sites (fractional):
Cu: 0.000 0.000 0.000 (multiplicity 1)
Rh: 0.500 0.500 0.231 (multiplicity 2)
Cl: 0.000 0.000 0.500 (multiplicity 1)

Summary:
E_tot	-19.06	eV for the cell shown
distance to the lowest polymorph of the same formula	20.9	kJ per mole of atoms
DOS at the Fermi energy	6.46	states/eV/f.u.
formation energy from raw total energies	1.59	eV per formula unit
M_tot	0.00	μB/f.u.

=====

# 4
A relaxed Ba6NaRhAu crystal, computed with PBE-GGA.

Cell lengths 8.3201, 8.3201, 7.9480 Å; angles 90.00, 90.00, 120.00 degrees
Space group P312 (No. 149)
Symmetry-distinct sites (fractional):
Ba: 0.0431 0.3510 0.2238 (multiplicity 6)
Na: 0.6667 0.3333 0.5000 (multiplicity 1)
Rh: 0.3333 0.6667 0.0000 (multiplicity 1)
Au: 0.0000 0.0000 0.0000 (multiplicity 1)

Summary:
E_tot	-25.55	eV for the cell shown
ΔH_f (0 K)	-22.2	kJ per mole of atoms
DOS at the Fermi energy	6.46	states/eV/f.u.
M_tot	0.00	μB/f.u.

=====

# 5
A relaxed Ca4SiBi crystal, computed with PBE-GGA.

Cell lengths 9.573, 13.870, 6.742 Å; angles 90.00, 120.23, 90.00 degrees
Space group C2/c (No. 15)
Symmetry-distinct sites (fractional):
Ca: 0.113 0.171 0.088 (multiplicity 8)
Ca: 0.214 0.434 0.301 (multiplicity 8)
Si: 0.000 0.002 0.750 (multiplicity 4)
Bi: 0.000 0.365 0.750 (multiplicity 4)

Summary:
E_tot	-82.12	eV for the cell shown
DOS at the Fermi energy	3.50	states/eV/f.u.
formation energy from raw total energies	-3.22	eV per formula unit
M_tot	0.27	μB/f.u.

=====

# 6
A relaxed HoTm2Rh crystal, computed with PBE-GGA.

Cell lengths 3.5527, 3.5527, 31.2902 Å; angles 90.00, 90.00, 120.00 degrees
Space group R-3m (No. 166, hexagonal axes)
Symmetry-distinct sites (fractional):
Ho: 0.0000 0.0000 0.0000 (multiplicity 3)
Tm: 0.0000 0.0000 0.1096 (multiplicity 6)
Rh: 0.0000 0.0000 0.5000 (multiplicity 3)

Summary:
E_tot	-64.60	eV for the cell shown
distance to the lowest polymorph of the same formula	38.2	kJ per mole of atoms
ΔH_f (0 K)	-16.0	kJ per mole of atoms
DOS at the Fermi energy	5.60	states/eV/f.u.
M_tot	0.24	μB/f.u.

=====

# 7
A relaxed AlAs2Pb crystal, computed with PBE-GGA.

Cell lengths 6.244, 7.572, 3.797 Å; angles 90.00, 91.61, 90.00 degrees
Space group C2/m (No. 12)
Symmetry-distinct sites (fractional):
Al: 0.000 0.000 0.000 (multiplicity 2)
As: 0.250 0.250 0.500 (multiplicity 4)
Pb: 0.000 0.500 0.000 (multiplicity 2)

Summary:
E_tot	-31.35	eV for the cell shown
distance to the lowest polymorph of the same formula	37.2	kJ per mole of atoms
ΔH_f (0 K)	25.9	kJ per mole of atoms
DOS at the Fermi energy	2.35	states/eV/f.u.
M_tot	0.00	μB/f.u.

=====

# 8
A relaxed YGaN2F crystal, computed with PBE-GGA.

Cell lengths 3.912, 3.912, 3.907 Å; angles 90.00, 90.00, 90.00 degrees
Space group P4/mmm (No. 123)
Symmetry-distinct sites (fractional):
Y: 0.000 0.000 0.000 (multiplicity 1)
Ga: 0.500 0.500 0.500 (multiplicity 1)
N: 0.000 0.500 0.500 (multiplicity 2)
F: 0.500 0.500 0.000 (multiplicity 1)

Summary:
E_tot	-32.70	eV for the cell shown
distance to the lowest polymorph of the same formula	0.0	kJ per mole of atoms
DOS at the Fermi energy	2.11	states/eV/f.u.
formation energy from raw total energies	-4.69	eV per formula unit
M_tot	0.00	μB/f.u.

=====

# 9
A relaxed LiTbNdHg crystal, computed with PBE-GGA.

Cell lengths 7.522, 7.522, 7.522 Å; angles 90.00, 90.00, 90.00 degrees
Space group F-43m (No. 216)
Symmetry-distinct sites (fractional):
Li: 0.000 0.000 0.000 (multiplicity 4)
Tb: 0.250 0.250 0.750 (multiplicity 4)
Nd: 0.250 0.250 0.250 (multiplicity 4)
Hg: 0.000 0.000 0.500 (multiplicity 4)

Summary:
E_tot	-49.72	eV for the cell shown
ΔH_f (0 K)	-19.7	kJ per mole of atoms
DOS at the Fermi energy	4.92	states/eV/f.u.
M_tot	0.45	μB/f.u.

=====

# 10
A relaxed VBiSeBr2 crystal, computed with PBE-GGA.

Cell lengths 5.043, 5.043, 5.126 Å; angles 90.00, 90.00, 90.00 degrees
Space group P4/mmm (No. 123)
Symmetry-distinct sites (fractional):
V: 0.000 0.000 0.000 (multiplicity 1)
Bi: 0.500 0.500 0.500 (multiplicity 1)
Se: 0.000 0.000 0.500 (multiplicity 1)
Br: 0.000 0.500 0.000 (multiplicity 2)

Summary:
E_tot	-20.62	eV for the cell shown
distance to the lowest polymorph of the same formula	0.0	kJ per mole of atoms
DOS at the Fermi energy	3.08	states/eV/f.u.
formation energy from raw total energies	-0.80	eV per formula unit
M_tot	2.91	μB/f.u.

=====

# 11
A relaxed MgSiTc2 crystal, computed with PBE-GGA.

Cell lengths 2.821, 4.060, 5.229 Å; angles 90.00, 99.44, 90.00 degrees
Space group P2/m (No. 10)
Symmetry-distinct sites (fractional):
Mg: 0.000 0.000 0.000 (multiplicity 1)
Si: 0.500 0.000 0.500 (multiplicity 1)
Tc: 0.311 0.500 0.740 (multiplicity 2)

Summary:
E_tot	-27.61	eV for the cell shown
distance to the lowest polymorph of the same formula	14.7	kJ per mole of atoms
DOS at the Fermi energy	3.64	states/eV/f.u.
formation energy from raw total energies	0.14	eV per formula unit
M_tot	0.00	μB/f.u.

=====

# 12
A relaxed Tb3Pm6Pr2Tl crystal, computed with PBE-GGA.

Cell lengths 6.219, 10.793, 11.951 Å; angles 90.00, 100.09, 90.00 degrees
Space group C2/m (No. 12)
Symmetry-distinct sites (fractional):
Tb: 0.000 0.000 0.000 (multiplicity 2)
Tb: 0.000 0.333 0.000 (multiplicity 4)
Pm: 0.242 0.500 0.248 (multiplicity 4)
Pm: 0.246 0.337 0.751 (multiplicity 8)
Pr: 0.000 0.166 0.500 (multiplicity 4)
Tl: 0.000 0.500 0.500 (multiplicity 2)

Summary:
E_tot	-109.38	eV for the cell shown
ΔH_f (0 K)	-3.0	kJ per mole of atoms
DOS at the Fermi energy	14.70	states/eV/f.u.
M_tot	0.00	μB/f.u.